This record from Alexandria describes a relaxed TiPd2Pt9 crystal. The functional is PBE.

Unit cell a=3.950 b=3.950 c=11.917 alpha=90.00 beta=90.00 gamma=90.00
Fractional positions:
Pt 0.500 0.500 0.671
Pt 0.500 0.500 0.000
Pt 0.000 0.500 0.161
Pt 0.500 0.000 0.500
Pt 0.500 0.000 0.839
Pt 0.000 0.500 0.500
Pt 0.500 0.000 0.161
Pt 0.500 0.500 0.329
Pt 0.000 0.500 0.839
Pd 0.000 0.000 0.666
Pd 0.000 0.000 0.334
Ti 0.000 0.000 0.000

Output
As for the total magnetic moment: 0.00 μB per formula unit. The total DFT energy (no corrections) is -6.389 eV per atom. The formation energy comes out at -0.335 eV/atom. Its space-group type is P4/mmm.

***

This record from Alexandria describes a relaxed TiPd8Pt6 crystal. The functional is PBE.

Unit cell a=7.389 b=7.389 c=6.865 alpha=57.44 beta=57.44 gamma=60.00
Fractional positions:
Pt 0.637 0.929 0.113
Pt 0.678 0.363 0.887
Pt 0.363 0.071 0.887
Pt 0.071 0.678 0.887
Pt 0.322 0.637 0.113
Pt 0.929 0.322 0.113
Pd 0.746 0.746 0.761
Pd 0.577 0.174 0.390
Pd 0.826 0.140 0.610
Pd 0.254 0.254 0.239
Pd 0.860 0.577 0.390
Pd 0.174 0.860 0.390
Pd 0.423 0.826 0.610
Pd 0.140 0.423 0.610
Ti 0.000 0.000 0.000

Output
For the distance to the lowest polymorph of the same formula, the calculation gives 1.99 eV per formula unit. As for the total magnetic moment: 0.00 μB per formula unit. The total DFT energy (no corrections) is -5.722 eV per atom. The formation energy comes out at -0.010 eV/atom. Its space-group type is R-3.

***

This record from Alexandria describes a relaxed TiPd8Pt2 crystal. The functional is PBE.

Unit cell a=4.223 b=6.643 c=6.643 alpha=105.22 beta=89.98 gamma=89.98
Fractional positions:
Ti 0.500 0.000 0.000
Pd 0.500 0.762 0.238
Pd 0.500 0.238 0.762
Pd 0.000 0.702 0.963
Pd 0.000 0.037 0.298
Pd 0.000 0.298 0.037
Pd 0.000 0.963 0.702
Pd 0.500 0.675 0.675
Pd 0.500 0.325 0.325
Pt 0.000 0.377 0.623
Pt 0.000 0.623 0.377

Output
For the distance to the lowest polymorph of the same formula, the calculation gives 0.00 eV per formula unit. As for the total magnetic moment: 0.00 μB per formula unit. The total DFT energy (no corrections) is -5.720 eV per atom. The formation energy comes out at -0.128 eV/atom. Its space-group type is Cmmm.

***

This record from Alexandria describes a relaxed Ti4PdPt crystal. The functional is PBE.

Unit cell a=3.141 b=3.141 c=9.786 alpha=90.00 beta=90.00 gamma=90.00
Fractional positions:
Pt 0.500 0.500 0.500
Pd 0.000 0.000 0.000
Ti 0.500 0.500 0.834
Ti 0.000 0.000 0.663
Ti 0.500 0.500 0.166
Ti 0.000 0.000 0.337

Output
For the distance to the lowest polymorph of the same formula, the calculation gives 0.00 eV per formula unit. As for the total magnetic moment: 0.00 μB per formula unit. The total DFT energy (no corrections) is -7.714 eV per atom. The formation energy comes out at -0.578 eV/atom. Its space-group type is P4/mmm.

***

Question: What is the formula in the second record?
Answer: TiPd8Pt6